No. 1
Compound: Ac2Sn4PdAu3
Source: the Alexandria database
Functional: GGA-PBE
Structure: optimized geometry

Unit cell a=4.7350 b=4.7350 c=11.3508 alpha=90.00 beta=90.00 gamma=90.00
Atoms (fractional coordinates):
Ac (0.0000, 0.5000, 0.2350)
Ac (0.5000, 0.0000, 0.7650)
Sn (0.0000, 0.0000, 0.5000)
Sn (0.0000, 0.5000, 0.8781)
Sn (0.5000, 0.0000, 0.1219)
Sn (0.5000, 0.5000, 0.5000)
Pd (0.5000, 0.5000, 0.0000)
Au (0.0000, 0.0000, 0.0000)
Au (0.0000, 0.5000, 0.6399)
Au (0.5000, 0.0000, 0.3601)

Computed properties:
The calculated total energy is -4.604 eV per atom. Its space group is No. 115.

No. 2
Compound: AcSn2Pd5Au
Source: the Alexandria database
Functional: GGA-PBE
Structure: optimized geometry

Unit cell a=4.2128 b=4.2128 c=10.4907 alpha=90.00 beta=90.00 gamma=90.00
Atoms (fractional coordinates):
Ac (0.0000, 0.0000, 0.0000)
Sn (0.5000, 0.5000, 0.3681)
Sn (0.5000, 0.5000, 0.6319)
Pd (0.0000, 0.5000, 0.2114)
Pd (0.0000, 0.5000, 0.7886)
Pd (0.5000, 0.0000, 0.2114)
Pd (0.5000, 0.0000, 0.7886)
Pd (0.5000, 0.5000, 0.0000)
Au (0.0000, 0.0000, 0.5000)

Computed properties:
The calculated total energy is -4.985 eV per atom. Its space group is No. 123.

No. 3
Compound: Ac2Sn4Pd3Au
Source: the Alexandria database
Functional: GGA-PBE
Structure: optimized geometry

Unit cell a=4.7285 b=4.7285 c=10.9066 alpha=90.00 beta=90.00 gamma=90.00
Atoms (fractional coordinates):
Ac (0.0000, 0.5000, 0.2431)
Ac (0.5000, 0.0000, 0.7569)
Sn (0.0000, 0.0000, 0.5000)
Sn (0.0000, 0.5000, 0.8685)
Sn (0.5000, 0.0000, 0.1315)
Sn (0.5000, 0.5000, 0.5000)
Pd (0.0000, 0.0000, 0.0000)
Pd (0.0000, 0.5000, 0.6256)
Pd (0.5000, 0.0000, 0.3744)
Au (0.5000, 0.5000, 0.0000)

Computed properties:
The calculated total energy is -5.089 eV per atom. Its space group is No. 115.

No. 4
Compound: Ac2SnPd3Au12
Source: the Alexandria database
Functional: GGA-PBE
Structure: optimized geometry

Unit cell a=10.1827 b=10.1827 c=10.1827 alpha=41.40 beta=41.40 gamma=41.40
Atoms (fractional coordinates):
Ac (0.1451, 0.1451, 0.1451)
Ac (0.8549, 0.8549, 0.8549)
Sn (0.5000, 0.5000, 0.5000)
Pd (0.0000, 0.5000, 0.5000)
Pd (0.5000, 0.0000, 0.5000)
Pd (0.5000, 0.5000, 0.0000)
Au (0.0830, 0.0830, 0.6948)
Au (0.0830, 0.6948, 0.0830)
Au (0.1061, 0.5995, 0.5995)
Au (0.3052, 0.9170, 0.9170)
Au (0.4005, 0.4005, 0.8939)
Au (0.4005, 0.8939, 0.4005)
Au (0.5995, 0.1061, 0.5995)
Au (0.5995, 0.5995, 0.1061)
Au (0.6948, 0.0830, 0.0830)
Au (0.8939, 0.4005, 0.4005)
Au (0.9170, 0.3052, 0.9170)
Au (0.9170, 0.9170, 0.3052)

Computed properties:
The calculated total energy is -3.867 eV per atom. Its space group is No. 166.

No. 5
Compound: Ac2SnPdAu6
Source: the Alexandria database
Functional: GGA-PBE
Structure: optimized geometry

Unit cell a=6.0204 b=6.4560 c=6.9645 alpha=78.58 beta=73.76 gamma=76.93
Atoms (fractional coordinates):
Ac (0.1597, 0.2434, 0.2503)
Ac (0.8403, 0.7566, 0.7497)
Sn (0.5000, 0.5000, 0.5000)
Pd (0.0000, 0.0000, 0.0000)
Au (0.1694, 0.7328, 0.3042)
Au (0.3256, 0.6346, 0.8931)
Au (0.3481, 0.0940, 0.6698)
Au (0.6519, 0.9060, 0.3302)
Au (0.6744, 0.3654, 0.1069)
Au (0.8306, 0.2672, 0.6958)

Computed properties:
The calculated total energy is -4.218 eV per atom. Its space group is No. 2.

No. 6
Compound: Ac2SnPd6Au
Source: the Alexandria database
Functional: GGA-PBE
Structure: optimized geometry

Unit cell a=5.5516 b=6.8433 c=7.0297 alpha=82.46 beta=66.79 gamma=66.11
Atoms (fractional coordinates):
Ac (0.2351, 0.2347, 0.2952)
Ac (0.7649, 0.7653, 0.7048)
Sn (0.0000, 0.0000, 0.0000)
Pd (0.2424, 0.7717, 0.2550)
Pd (0.2525, 0.5758, 0.9213)
Pd (0.2669, 0.2297, 0.7455)
Pd (0.7331, 0.7703, 0.2545)
Pd (0.7475, 0.4242, 0.0787)
Pd (0.7576, 0.2283, 0.7450)
Au (0.5000, 0.5000, 0.5000)

Computed properties:
The calculated total energy is -5.334 eV per atom. Its space group is No. 2.